The following is a meta-GGA SCAN calculation of a crystal of Ca2La2MgTi3O12 relaxed with PBEsol, from Alexandria.

space-group type: No. 1
ΔE to the lowest computed polymorph: 0 meV/atom
ΔE_f (raw): -3.520 eV per atom

Geometry as POSCAR:
```
Ca2La2MgTi3O12
1.0
5.444 0.000 0.000
0.017 5.522 0.000
0.009 0.014 7.731
Ca La Mg Ti O
2 2 1 3 12
Direct
0.000 0.000 0.000 Ca
0.496 0.410 0.484 Ca
0.011 0.926 0.483 La
0.517 0.499 0.003 La
0.506 0.958 0.242 Mg
0.006 0.457 0.244 Ti
0.015 0.460 0.742 Ti
0.514 0.965 0.745 Ti
0.078 0.437 0.989 O
0.209 0.174 0.279 O
0.218 0.174 0.703 O
0.290 0.656 0.285 O
0.290 0.665 0.699 O
0.422 0.936 0.982 O
0.578 0.977 0.503 O
0.721 0.243 0.785 O
0.724 0.254 0.206 O
0.795 0.744 0.785 O
0.807 0.742 0.200 O
0.923 0.472 0.497 O
```

---

The following is a meta-GGA SCAN calculation of a crystal of Ta2MoSe relaxed with PBEsol, from Alexandria.

space-group type: No. 65
ΔE_f (raw): 0.082 eV per atom

Geometry as POSCAR:
```
Ta2MoSe
1.0
2.868 -3.620 0.000
2.868 3.620 0.000
0.000 0.000 3.179
Ta Mo Se
2 1 1
Direct
0.000 0.500 0.000 Ta
0.500 0.000 0.000 Ta
0.000 0.000 0.500 Mo
0.500 0.500 0.500 Se
```

---

The following is a meta-GGA SCAN calculation of a crystal of SrAl2Te relaxed with PBEsol, from Alexandria.

space-group type: No. 8
ΔE_f (raw): -0.306 eV per atom

Geometry as POSCAR:
```
SrAl2Te
1.0
4.821 -1.994 0.000
4.821 1.994 0.000
-1.705 0.000 5.477
Sr Al Te
1 2 1
Direct
0.000 0.000 0.000 Sr
0.485 0.485 0.452 Al
0.765 0.765 0.331 Al
0.232 0.232 0.672 Te
```

---

The following is a meta-GGA SCAN calculation of a crystal of ZrCr2Re relaxed with PBEsol, from Alexandria.

space-group type: No. 123
DFT formation energy: 64 meV/atom

Geometry as POSCAR:
```
ZrCr2Re
1.0
4.319 0.000 0.000
0.000 4.319 0.000
0.000 0.000 3.035
Zr Cr Re
1 2 1
Direct
0.000 0.000 0.000 Zr
0.000 0.500 0.500 Cr
0.500 0.000 0.500 Cr
0.500 0.500 0.000 Re
```

---

The following is a meta-GGA SCAN calculation of a crystal of ZnOsI3 relaxed with PBEsol, from Alexandria.

space-group type: No. 221
ΔE_f (raw): 0.763 eV per atom

Geometry as POSCAR:
```
ZnOsI3
1.0
5.339 0.000 0.000
0.000 5.339 0.000
0.000 0.000 5.339
Zn Os I
1 1 3
Direct
0.000 0.000 0.000 Zn
0.500 0.500 0.500 Os
0.000 0.500 0.500 I
0.500 0.000 0.500 I
0.500 0.500 0.000 I
```

---

The following is a meta-GGA SCAN calculation of a crystal of K2BeF4 relaxed with PBEsol, from Alexandria.

space-group type: No. 33
ΔE to the lowest computed polymorph: 65 meV/atom
ΔE_f (raw): -3.225 eV per atom

Geometry as POSCAR:
```
K2BeF4
1.0
9.068 0.000 0.000
0.000 5.550 0.000
0.000 0.000 9.123
K Be F
8 4 16
Direct
0.003 0.224 0.000 K
0.235 0.662 0.828 K
0.265 0.162 0.328 K
0.497 0.724 0.500 K
0.503 0.276 0.000 K
0.735 0.838 0.828 K
0.765 0.338 0.328 K
0.997 0.776 0.500 K
0.163 0.626 0.207 Be
0.337 0.126 0.707 Be
0.663 0.874 0.207 Be
0.837 0.374 0.707 Be
0.027 0.463 0.255 F
0.115 0.873 0.147 F
0.242 0.157 0.848 F
0.250 0.476 0.090 F
0.250 0.976 0.590 F
0.258 0.657 0.348 F
0.385 0.373 0.647 F
0.473 0.963 0.755 F
0.527 0.037 0.255 F
0.615 0.627 0.147 F
0.742 0.343 0.848 F
0.750 0.024 0.090 F
0.750 0.524 0.590 F
0.758 0.843 0.348 F
0.885 0.127 0.647 F
0.973 0.537 0.755 F
```

---

The following is a meta-GGA SCAN calculation of a crystal of CdInSb2O relaxed with PBEsol, from Alexandria.

space-group type: No. 123
ΔE_f (raw): -0.029 eV per atom

Geometry as POSCAR:
```
CdInSb2O
1.0
4.683 0.000 0.000
0.000 4.683 0.000
0.000 0.000 4.987
Cd In Sb O
1 1 2 1
Direct
0.000 0.000 0.000 Cd
0.500 0.500 0.000 In
0.000 0.500 0.500 Sb
0.500 0.000 0.500 Sb
0.500 0.500 0.500 O
```

---

The following is a meta-GGA SCAN calculation of a crystal of TaMnNb2 relaxed with PBEsol, from Alexandria.

space-group type: No. 225
DFT formation energy: 69 meV/atom

Geometry as POSCAR:
```
TaMnNb2
1.0
0.000 3.161 3.161
3.161 0.000 3.161
3.161 3.161 0.000
Ta Mn Nb
1 1 2
Direct
0.000 0.000 0.000 Ta
0.500 0.500 0.500 Mn
0.250 0.250 0.250 Nb
0.750 0.750 0.750 Nb
```